Entry 1:
# KGaAgSb (GGA-PBE, optimized geometry)
data_KGaAgSb
_cell_length_a 4.512
_cell_length_b 4.512
_cell_length_c 12.478
_cell_angle_alpha 90.00
_cell_angle_beta 90.00
_cell_angle_gamma 90.00
_space_group_name_H-M_alt 'P 1'
_space_group_IT_number 1
loop_
_space_group_symop_operation_xyz
'x,y,z'
loop_
_atom_site_label
_atom_site_fract_x
_atom_site_fract_y
_atom_site_fract_z
K1 0.250 0.250 0.220
K2 0.750 0.750 0.780
Ga1 0.250 0.750 0.500
Ga2 0.750 0.250 0.500
Ag1 0.250 0.750 0.000
Ag2 0.750 0.250 0.000
Sb1 0.250 0.250 0.630
Sb2 0.750 0.750 0.370
# - N(E_F): 1.1 states/eV per cell
# - ΔE_f (raw): -70 meV per atom
# - SG: P4/nmm (129)
# - Spin magnetization: 0.000 μB per atom

Entry 2:
# Pr2GaSn (GGA-PBE, optimized geometry)
data_Pr2GaSn
_cell_length_a 5.059
_cell_length_b 5.059
_cell_length_c 4.343
_cell_angle_alpha 90.00
_cell_angle_beta 90.00
_cell_angle_gamma 90.00
_space_group_name_H-M_alt 'P 1'
_space_group_IT_number 1
loop_
_space_group_symop_operation_xyz
'x,y,z'
loop_
_atom_site_label
_atom_site_fract_x
_atom_site_fract_y
_atom_site_fract_z
Pr1 0.000 0.500 0.000
Pr2 0.500 0.000 0.000
Ga1 0.000 0.000 0.500
Sn1 0.500 0.500 0.500
# - Total DFT energy (no corrections): -4.74 eV per atom
# - N(E_F): 2.5 states/eV per cell
# - SG: P4/mmm (123)
# - Spin magnetization: 0.000 μB per atom

Entry 3:
# CdPbCl2 (GGA-PBE, optimized geometry)
data_CdPbCl2
_cell_length_a 4.102
_cell_length_b 4.102
_cell_length_c 25.969
_cell_angle_alpha 90.00
_cell_angle_beta 90.00
_cell_angle_gamma 120.00
_space_group_name_H-M_alt 'P 1'
_space_group_IT_number 1
loop_
_space_group_symop_operation_xyz
'x,y,z'
loop_
_atom_site_label
_atom_site_fract_x
_atom_site_fract_y
_atom_site_fract_z
Cd1 0.000 0.000 0.000
Cd2 0.333 0.667 0.667
Cd3 0.667 0.333 0.333
Pb1 0.000 0.000 0.245
Pb2 0.333 0.667 0.911
Pb3 0.667 0.333 0.578
Cl1 0.000 0.000 0.515
Cl2 0.000 0.000 0.719
Cl3 0.333 0.667 0.181
Cl4 0.333 0.667 0.386
Cl5 0.667 0.333 0.053
Cl6 0.667 0.333 0.848
# - ΔE_f (raw): -690 meV per atom
# - SG: R3m (160)
# - Spin magnetization: 0.000 μB per atom
# - Relative energy among the computed polymorphs: 0.04 eV per formula unit

Entry 4:
# BiSb (GGA-PBE, optimized geometry)
data_BiSb
_cell_length_a 4.678
_cell_length_b 4.502
_cell_length_c 6.574
_cell_angle_alpha 90.00
_cell_angle_beta 94.37
_cell_angle_gamma 90.00
_space_group_name_H-M_alt 'P 1'
_space_group_IT_number 1
loop_
_space_group_symop_operation_xyz
'x,y,z'
loop_
_atom_site_label
_atom_site_fract_x
_atom_site_fract_y
_atom_site_fract_z
Bi1 0.033 0.000 0.237
Bi2 0.967 0.000 0.763
Sb1 0.471 0.500 0.278
Sb2 0.529 0.500 0.722
# - N(E_F): 0.5 states/eV per cell
# - ΔE_f (raw): 2 meV per atom
# - SG: P2/m (10)
# - Spin magnetization: 0.000 μB per atom
# - Relative energy among the computed polymorphs: 0.02 eV per formula unit

Entry 5:
# NaHoSiO4 (GGA-PBE, optimized geometry)
data_NaHoSiO4
_cell_length_a 5.703
_cell_length_b 5.536
_cell_length_c 6.864
_cell_angle_alpha 90.00
_cell_angle_beta 90.82
_cell_angle_gamma 90.00
_space_group_name_H-M_alt 'P 1'
_space_group_IT_number 1
loop_
_space_group_symop_operation_xyz
'x,y,z'
loop_
_atom_site_label
_atom_site_fract_x
_atom_site_fract_y
_atom_site_fract_z
Na1 0.104 0.250 0.367
Na2 0.896 0.750 0.633
Ho1 0.304 0.250 0.931
Ho2 0.696 0.750 0.069
Si1 0.193 0.750 0.158
Si2 0.807 0.250 0.842
O1 0.026 0.250 0.689
O2 0.071 0.750 0.939
O3 0.376 0.518 0.176
O4 0.376 0.982 0.176
O5 0.624 0.018 0.824
O6 0.624 0.482 0.824
O7 0.929 0.250 0.061
O8 0.974 0.750 0.311
# - N(E_F): 0.0 states/eV per cell
# - ΔE_f (raw): -2870 meV per atom
# - SG: P2_1/m (11)
# - Spin magnetization: 0.000 μB per atom

Entry 6:
# Cd2MoOs (GGA-PBE, optimized geometry)
data_Cd2MoOs
_cell_length_a 2.770
_cell_length_b 2.770
_cell_length_c 9.073
_cell_angle_alpha 90.00
_cell_angle_beta 90.00
_cell_angle_gamma 90.00
_space_group_name_H-M_alt 'P 1'
_space_group_IT_number 1
loop_
_space_group_symop_operation_xyz
'x,y,z'
loop_
_atom_site_label
_atom_site_fract_x
_atom_site_fract_y
_atom_site_fract_z
Cd1 0.000 0.000 0.245
Cd2 0.000 0.000 0.755
Mo1 0.500 0.500 0.500
Os1 0.500 0.500 0.000
# - N(E_F): 5.0 states/eV per cell
# - SG: P4/mmm (123)
# - Spin magnetization: 0.000 μB per atom
# - Relative energy among the computed polymorphs: 2.02 eV per formula unit